Entry 1:
# PBE LiAgF6, optimized geometry
# Electronic total energy (Ry/atom): -0.2393
# Distance to the lowest polymorph of the same formula (meV/atom): 0
# Energy relative to the elements, uncorrected (meV per atom): -1257
data_LiAgF6
_cell_length_a 5.0727
_cell_length_b 5.0727
_cell_length_c 13.7432
_cell_angle_alpha 90.00
_cell_angle_beta 90.00
_cell_angle_gamma 120.00
_symmetry_space_group_name_H-M 'R -3'
_symmetry_Int_Tables_number 148
_symmetry_space_group_name_Hall '-R 3'
loop_
_atom_site_label
_atom_site_type_symbol
_atom_site_fract_x
_atom_site_fract_y
_atom_site_fract_z
Li1 Li 0.0000 0.0000 0.0000
Ag1 Ag 0.0000 0.0000 0.5000
F1 F 0.0128 0.6949 0.5821

---

Entry 2:
# PBE LiAg5F8, optimized geometry
# Electronic total energy (Ry/atom): -0.2588
# N(E_F) (states/eV/f.u.): 11.60
# Energy relative to the elements, uncorrected (meV per atom): -1296
data_LiAg5F8
_cell_length_a 7.4487
_cell_length_b 7.4487
_cell_length_c 7.3030
_cell_angle_alpha 90.00
_cell_angle_beta 90.00
_cell_angle_gamma 90.00
_symmetry_space_group_name_H-M 'I -4'
_symmetry_Int_Tables_number 82
loop_
_symmetry_equiv_pos_as_xyz
'x,y,z'
'y,-x,-z'
'-x,-y,z'
'-y,x,-z'
'x+1/2,y+1/2,z+1/2'
'y+1/2,-x+1/2,-z+1/2'
'-x+1/2,-y+1/2,z+1/2'
'-y+1/2,x+1/2,-z+1/2'
loop_
_atom_site_label
_atom_site_type_symbol
_atom_site_fract_x
_atom_site_fract_y
_atom_site_fract_z
Li1 Li 0.0000 0.0000 0.0000
Ag1 Ag 0.0000 0.5000 0.2500
Ag2 Ag 0.1863 0.2470 0.6299
F1 F 0.0379 0.2572 0.9231
F2 F 0.0547 0.1989 0.3410

---

Entry 3:
# PBE LiAg5F7, optimized geometry
# Electronic total energy (Ry/atom): -0.2618
# N(E_F) (states/eV/f.u.): 5.34
# Energy relative to the elements, uncorrected (meV per atom): -1310
data_LiAg5F7
_cell_length_a 3.2248
_cell_length_b 6.1308
_cell_length_c 19.8177
_cell_angle_alpha 90.62
_cell_angle_beta 92.80
_cell_angle_gamma 97.82
_symmetry_space_group_name_H-M 'P 1'
_symmetry_Int_Tables_number 1
loop_
_symmetry_equiv_pos_as_xyz
'x,y,z'
loop_
_atom_site_label
_atom_site_type_symbol
_atom_site_fract_x
_atom_site_fract_y
_atom_site_fract_z
Li1 Li 0.0000 0.0000 0.0000
Li2 Li 0.4124 0.0842 0.5043
Ag1 Ag 0.0009 0.0671 0.6655
Ag2 Ag 0.2075 0.5206 0.9429
Ag3 Ag 0.2104 0.5638 0.5620
Ag4 Ag 0.2396 0.5414 0.2523
Ag5 Ag 0.4184 0.0173 0.8391
Ag6 Ag 0.5903 0.0851 0.3385
Ag7 Ag 0.6704 0.4955 0.0700
Ag8 Ag 0.7091 0.5423 0.7523
Ag9 Ag 0.7510 0.5888 0.4348
Ag10 Ag 0.8968 0.0005 0.1689
F1 F 0.0161 0.1698 0.9217
F2 F 0.0173 0.2571 0.7754
F3 F 0.0636 0.1984 0.0743
F4 F 0.1931 0.4025 0.3566
F5 F 0.2488 0.6825 0.1475
F6 F 0.3435 0.8841 0.4305
F7 F 0.4014 0.8274 0.7291
F8 F 0.4034 0.9155 0.5829
F9 F 0.4564 0.8286 0.0002
F10 F 0.5574 0.2585 0.2243
F11 F 0.6684 0.4160 0.6491
F12 F 0.7502 0.6687 0.8555
F13 F 0.9263 0.8302 0.2774
F14 F 0.9565 0.2564 0.5038

---

Entry 4:
# PBE LiAgF3, optimized geometry
# Electronic total energy (Ry/atom): -0.2860
# Distance to the lowest polymorph of the same formula (meV/atom): 13
# N(E_F) (states/eV/f.u.): 0.94
# Energy relative to the elements, uncorrected (meV per atom): -1816
data_LiAgF3
_cell_length_a 5.4078
_cell_length_b 5.4078
_cell_length_c 15.1274
_cell_angle_alpha 90.00
_cell_angle_beta 90.00
_cell_angle_gamma 120.00
_symmetry_space_group_name_H-M 'P 61 2 2'
_symmetry_Int_Tables_number 178
_symmetry_space_group_name_Hall 'P 61 2 (0 0 5)'
loop_
_atom_site_label
_atom_site_type_symbol
_atom_site_fract_x
_atom_site_fract_y
_atom_site_fract_z
Li1 Li 0.0343 0.0685 0.2500
Ag1 Ag 0.3074 0.6147 0.7500
F1 F 0.0000 0.2629 0.8333
F2 F 0.0579 0.3437 0.1567

---

Entry 5:
# PBE LiAg2F6, optimized geometry
# Electronic total energy (Ry/atom): -0.2620
# Distance to the lowest polymorph of the same formula (meV/atom): 23
# N(E_F) (states/eV/f.u.): 4.30
# Energy relative to the elements, uncorrected (meV per atom): -1471
data_LiAg2F6
_cell_length_a 6.1597
_cell_length_b 5.5162
_cell_length_c 16.0511
_cell_angle_alpha 90.00
_cell_angle_beta 95.96
_cell_angle_gamma 90.00
_symmetry_space_group_name_H-M 'P 1 21/c 1'
_symmetry_Int_Tables_number 14
loop_
_symmetry_equiv_pos_as_xyz
'x,y,z'
'-x,-y,-z'
'-x,y+1/2,-z+1/2'
'x,-y+1/2,z+1/2'
loop_
_atom_site_label
_atom_site_type_symbol
_atom_site_fract_x
_atom_site_fract_y
_atom_site_fract_z
Li1 Li 0.1096 0.0912 0.4296
Ag1 Ag 0.2142 0.5216 0.2573
Ag2 Ag 0.3332 0.5670 0.5778
F1 F 0.0074 0.1264 0.6662
F2 F 0.0408 0.1421 0.8405
F3 F 0.1315 0.6985 0.0086
F4 F 0.3291 0.1985 0.9892
F5 F 0.3946 0.6746 0.1715
F6 F 0.4500 0.6467 0.3466

---

Entry 6:
# PBE LiAg5F6, optimized geometry
# Electronic total energy (Ry/atom): -0.2615
# N(E_F) (states/eV/f.u.): 7.86
# Energy relative to the elements, uncorrected (meV per atom): -1275
data_LiAg5F6
_cell_length_a 6.2920
_cell_length_b 10.0683
_cell_length_c 5.7905
_cell_angle_alpha 90.00
_cell_angle_beta 110.79
_cell_angle_gamma 90.00
_symmetry_space_group_name_H-M 'C 1 2/m 1'
_symmetry_Int_Tables_number 12
loop_
_symmetry_equiv_pos_as_xyz
'x,y,z'
'-x,-y,-z'
'-x,y,-z'
'x,-y,z'
'x+1/2,y+1/2,z'
'-x+1/2,-y+1/2,-z'
'-x+1/2,y+1/2,-z'
'x+1/2,-y+1/2,z'
loop_
_atom_site_label
_atom_site_type_symbol
_atom_site_fract_x
_atom_site_fract_y
_atom_site_fract_z
Li1 Li 0.0000 0.0000 0.0000
Ag1 Ag 0.0000 0.1847 0.5000
Ag2 Ag 0.0000 0.3429 0.0000
Ag3 Ag 0.0000 0.5000 0.5000
F1 F 0.2015 0.0000 0.7751
F2 F 0.2152 0.1458 0.2227

---

Entry 7:
# PBE LiAgF3, optimized geometry
# Electronic total energy (Ry/atom): -0.2870
# Distance to the lowest polymorph of the same formula (meV/atom): 0
# N(E_F) (states/eV/f.u.): 0.05
# Energy relative to the elements, uncorrected (meV per atom): -1829
data_LiAgF3
_cell_length_a 5.5305
_cell_length_b 5.6897
_cell_length_c 9.6335
_cell_angle_alpha 90.00
_cell_angle_beta 120.24
_cell_angle_gamma 90.00
_symmetry_space_group_name_H-M 'P 1 21/c 1'
_symmetry_Int_Tables_number 14
loop_
_symmetry_equiv_pos_as_xyz
'x,y,z'
'-x,-y,-z'
'-x,y+1/2,-z+1/2'
'x,-y+1/2,z+1/2'
loop_
_atom_site_label
_atom_site_type_symbol
_atom_site_fract_x
_atom_site_fract_y
_atom_site_fract_z
Li1 Li 0.2375 0.0289 0.2144
Ag1 Ag 0.0000 0.0000 0.5000
Ag2 Ag 0.5000 0.0000 0.0000
F1 F 0.1394 0.1652 0.9805
F2 F 0.1514 0.6431 0.8586
F3 F 0.4880 0.1838 0.8029

---

Entry 8:
# PBE Li3Ag3F8, optimized geometry
# Electronic total energy (Ry/atom): -0.2881
# N(E_F) (states/eV/f.u.): 8.91
# Energy relative to the elements, uncorrected (meV per atom): -1829
data_Li3Ag3F8
_cell_length_a 6.2993
_cell_length_b 6.2993
_cell_length_c 16.3299
_cell_angle_alpha 90.00
_cell_angle_beta 90.00
_cell_angle_gamma 120.00
_symmetry_space_group_name_H-M 'R -3 m'
_symmetry_Int_Tables_number 166
_symmetry_space_group_name_Hall '-R 3 2"'
loop_
_atom_site_label
_atom_site_type_symbol
_atom_site_fract_x
_atom_site_fract_y
_atom_site_fract_z
Li1 Li 0.0000 0.5000 0.0000
Ag1 Ag 0.0000 0.0000 0.1417
Ag2 Ag 0.0000 0.0000 0.5000
F1 F 0.0000 0.0000 0.2760
F2 F 0.0338 0.5169 0.2566

---

Entry 9:
# PBE Li2AgF8, optimized geometry
# Electronic total energy (Ry/atom): -0.2461
# N(E_F) (states/eV/f.u.): 4.81
# Energy relative to the elements, uncorrected (meV per atom): -1380
data_Li2AgF8
_cell_length_a 8.9587
_cell_length_b 6.7581
_cell_length_c 4.8823
_cell_angle_alpha 90.00
_cell_angle_beta 110.83
_cell_angle_gamma 90.00
_symmetry_space_group_name_H-M 'C 1 2/m 1'
_symmetry_Int_Tables_number 12
loop_
_symmetry_equiv_pos_as_xyz
'x,y,z'
'-x,-y,-z'
'-x,y,-z'
'x,-y,z'
'x+1/2,y+1/2,z'
'-x+1/2,-y+1/2,-z'
'-x+1/2,y+1/2,-z'
'x+1/2,-y+1/2,z'
loop_
_atom_site_label
_atom_site_type_symbol
_atom_site_fract_x
_atom_site_fract_y
_atom_site_fract_z
Li1 Li 0.1735 0.0000 0.4209
Ag1 Ag 0.0000 0.5000 0.0000
F1 F 0.0621 0.0000 0.7090
F2 F 0.1339 0.5000 0.7641
F3 F 0.1475 0.3069 0.2630